First-principles (PBE-GGA) data for As3W after structural relaxation, as listed in Alexandria.

As for the energy above the lowest structure with this stoichiometry: 134.2 meV/atom. As for the total energy: -0.478 Ry per atom. The total magnetization is 0.00 μB per cell. The energy of formation is 22.0 kJ per mole of atoms.

The structure belongs to space group P4/mmm (No. 123); the cell edges are 3.210, 3.210 and 6.721 Å and the angles 90.00°, 90.00° and 90.00°. The asymmetric unit holds As at (0.000, 0.000, 0.000), As at (0.500, 0.500, 0.284) and W at (0.000, 0.000, 0.500).

=====

First-principles (PBE-GGA) data for AsW after structural relaxation, as listed in Alexandria.

As for the total energy: -0.603 Ry per atom. The total magnetization is 0.00 μB per cell. The energy of formation is 57.6 kJ per mole of atoms.

The structure belongs to space group I-43m (No. 217); the cell edges are 7.861, 7.861 and 7.861 Å and the angles 90.00°, 90.00° and 90.00°. The asymmetric unit holds As at (0.192, 0.192, 0.192) and W at (0.117, 0.117, 0.883).

=====

First-principles (PBE-GGA) data for As2W after structural relaxation, as listed in Alexandria.

As for the total energy: -0.544 Ry per atom. The total magnetization is 0.00 μB per cell. The energy of formation is 2.1 kJ per mole of atoms.

The structure belongs to space group C2/m (No. 12); the cell edges are 10.573, 3.219 and 7.668 Å and the angles 90.00°, 108.73° and 90.00°. The asymmetric unit holds As at (0.028, 0.000, 0.226), As at (0.210, 0.500, 0.723) and W at (0.138, 0.500, 0.012).

=====

First-principles (PBE-GGA) data for AsW after structural relaxation, as listed in Alexandria.

As for the total energy: -0.632 Ry per atom. The total magnetization is 0.00 μB per cell. The energy of formation is 19.2 kJ per mole of atoms.

The structure belongs to space group Pmmn (No. 59, origin choice 2); the cell edges are 3.070, 4.646 and 4.490 Å and the angles 90.00°, 90.00° and 90.00°. The asymmetric unit holds As at (0.250, 0.250, 0.123) and W at (0.250, 0.750, 0.389).

=====

First-principles (PBE-GGA) data for AsW after structural relaxation, as listed in Alexandria.

As for the total energy: -0.614 Ry per atom. The total magnetization is 0.00 μB per cell. The energy of formation is 43.2 kJ per mole of atoms.

The structure belongs to space group Fddd (No. 70, origin choice 2); the cell edges are 7.833, 8.983 and 9.081 Å and the angles 90.00°, 90.00° and 90.00°. The asymmetric unit holds As at (0.084, 0.375, 0.375) and W at (0.125, 0.125, 0.486).

=====

First-principles (PBE-GGA) data for As2W after structural relaxation, as listed in Alexandria.

As for the total energy: -0.457 Ry per atom. The total magnetization is 0.00 μB per cell. The energy of formation is 116.4 kJ per mole of atoms.

The structure belongs to space group Fd-3m (No. 227, origin choice 2); the cell edges are 7.458, 7.458 and 7.458 Å and the angles 90.00°, 90.00° and 90.00°. The asymmetric unit holds As at (0.000, 0.000, 0.000) and W at (0.125, 0.125, 0.625).

=====

First-principles (PBE-GGA) data for AsW5 after structural relaxation, as listed in Alexandria.

As for the energy above the lowest structure with this stoichiometry: 22.9 meV/atom. As for the total energy: -0.834 Ry per atom. The total magnetization is 0.00 μB per cell. The energy of formation is 21.9 kJ per mole of atoms.

The structure belongs to space group Cmmm (No. 65); the cell edges are 3.200, 13.683 and 4.375 Å and the angles 90.00°, 90.00° and 90.00°. The asymmetric unit holds As at (0.000, 0.000, 0.000), W at (0.000, 0.167, 0.500), W at (0.000, 0.331, 0.000) and W at (0.000, 0.500, 0.500).

=====

First-principles (PBE-GGA) data for AsW after structural relaxation, as listed in Alexandria.

As for the total energy: -0.622 Ry per atom. The total magnetization is 0.00 μB per cell. The energy of formation is 32.4 kJ per mole of atoms.

The structure belongs to space group Pmmn (No. 59, origin choice 2); the cell edges are 3.073, 14.005 and 4.471 Å and the angles 90.00°, 90.00° and 90.00°. The asymmetric unit holds As at (0.250, 0.086, 0.111), As at (0.250, 0.750, 0.641), W at (0.250, 0.250, 0.836) and W at (0.250, 0.581, 0.376).

=====

First-principles (PBE-GGA) data for As3W after structural relaxation, as listed in Alexandria.

As for the energy above the lowest structure with this stoichiometry: 255.7 meV/atom. As for the total energy: -0.469 Ry per atom. The total magnetization is 0.00 μB per cell. The energy of formation is 33.7 kJ per mole of atoms.

The structure belongs to space group P-6m2 (No. 187); the cell edges are 2.9446, 2.9446 and 11.6588 Å and the angles 90.00°, 90.00° and 120.00°. The asymmetric unit holds As at (0.0000, 0.0000, 0.0000), As at (0.3333, 0.6667, 0.3245) and W at (0.0000, 0.0000, 0.5000).

=====

First-principles (PBE-GGA) data for As3W after structural relaxation, as listed in Alexandria.

As for the energy above the lowest structure with this stoichiometry: 361.0 meV/atom. As for the total energy: -0.461 Ry per atom. The total magnetization is 0.00 μB per cell. The energy of formation is 43.9 kJ per mole of atoms.

The structure belongs to space group P2/m (No. 10); the cell edges are 3.657, 4.776 and 4.457 Å and the angles 90.00°, 103.07° and 90.00°. The asymmetric unit holds As at (0.000, 0.000, 0.000), As at (0.303, 0.500, 0.693) and W at (0.500, 0.000, 0.500).

=====

First-principles (PBE-GGA) data for As3W after structural relaxation, as listed in Alexandria.

As for the energy above the lowest structure with this stoichiometry: 349.0 meV/atom. As for the total energy: -0.462 Ry per atom. The total magnetization is 0.00 μB per cell. The energy of formation is 42.7 kJ per mole of atoms.

The structure belongs to space group Cmmm (No. 65); the cell edges are 3.385, 4.651 and 9.410 Å and the angles 90.00°, 90.00° and 90.00°. The asymmetric unit holds As at (0.000, 0.000, 0.000), As at (0.000, 0.500, 0.285) and W at (0.000, 0.000, 0.500).

=====

First-principles (PBE-GGA) data for As3W after structural relaxation, as listed in Alexandria.

As for the energy above the lowest structure with this stoichiometry: 480.1 meV/atom. As for the total energy: -0.452 Ry per atom. The total magnetization is 0.00 μB per cell. The energy of formation is 55.4 kJ per mole of atoms.

The structure belongs to space group Pm-3m (No. 221); the cell edges are 4.912, 4.912 and 4.912 Å and the angles 90.00°, 90.00° and 90.00°. The asymmetric unit holds As at (0.000, 0.000, 0.500) and W at (0.000, 0.000, 0.000).

=====

First-principles (PBE-GGA) data for AsW7 after structural relaxation, as listed in Alexandria.

As for the total energy: -0.839 Ry per atom. The total magnetization is 0.00 μB per cell. The energy of formation is 48.6 kJ per mole of atoms.

The structure belongs to space group Fm-3m (No. 225); the cell edges are 8.035, 8.035 and 8.035 Å and the angles 90.00°, 90.00° and 90.00°. The asymmetric unit holds As at (0.000, 0.000, 0.000), W at (0.000, 0.000, 0.500) and W at (0.000, 0.250, 0.250).

=====

First-principles (PBE-GGA) data for AsW after structural relaxation, as listed in Alexandria.

As for the total energy: -0.600 Ry per atom. The total magnetization is 0.00 μB per cell. The energy of formation is 61.8 kJ per mole of atoms.

The structure belongs to space group P4_2/mnm (No. 136); the cell edges are 5.442, 5.442 and 5.085 Å and the angles 90.00°, 90.00° and 90.00°. The asymmetric unit holds As at (0.208, 0.208, 0.000) and W at (0.160, 0.160, 0.500).

=====

First-principles (PBE-GGA) data for As2W after structural relaxation, as listed in Alexandria.

As for the total energy: -0.535 Ry per atom. The total magnetization is 0.00 μB per cell. The energy of formation is 13.3 kJ per mole of atoms.

The structure belongs to space group C2/m (No. 12); the cell edges are 9.301, 3.122 and 7.955 Å and the angles 90.00°, 91.06° and 90.00°. The asymmetric unit holds As at (0.118, 0.000, 0.416), As at (0.139, 0.000, 0.890) and W at (0.081, 0.500, 0.152).

=====

First-principles (PBE-GGA) data for As3W after structural relaxation, as listed in Alexandria.

As for the energy above the lowest structure with this stoichiometry: 497.9 meV/atom. As for the total energy: -0.451 Ry per atom. The total magnetization is 0.00 μB per cell. The energy of formation is 57.1 kJ per mole of atoms.

The structure belongs to space group I4/mmm (No. 139); the cell edges are 4.591, 4.591 and 6.397 Å and the angles 90.00°, 90.00° and 90.00°. The asymmetric unit holds As at (0.000, 0.000, 0.000), As at (0.000, 0.500, 0.250) and W at (0.000, 0.000, 0.500).

=====

First-principles (PBE-GGA) data for AsW after structural relaxation, as listed in Alexandria.

As for the total energy: -0.639 Ry per atom. The total magnetization is 0.00 μB per cell. The energy of formation is 9.9 kJ per mole of atoms.

The structure belongs to space group P4/nmm (No. 129, origin choice 2); the cell edges are 3.279, 3.279 and 5.948 Å and the angles 90.00°, 90.00° and 90.00°. The asymmetric unit holds As at (0.250, 0.250, 0.151) and W at (0.250, 0.250, 0.658).

=====

First-principles (PBE-GGA) data for AsW after structural relaxation, as listed in Alexandria.

As for the total energy: -0.610 Ry per atom. The total magnetization is 0.00 μB per cell. The energy of formation is 48.8 kJ per mole of atoms.

The structure belongs to space group R-3m (No. 166, hexagonal axes); the cell edges are 4.4113, 4.4113 and 13.0426 Å and the angles 90.00°, 90.00° and 120.00°. The asymmetric unit holds As at (0.0000, 0.0000, 0.1096) and W at (0.0000, 0.0000, 0.3153).

=====

First-principles (PBE-GGA) data for As2W after structural relaxation, as listed in Alexandria.

As for the total energy: -0.513 Ry per atom. The total magnetization is 4.89 μB per cell. The energy of formation is 42.5 kJ per mole of atoms.

The structure belongs to space group Fm-3m (No. 225); the cell edges are 6.176, 6.176 and 6.176 Å and the angles 90.00°, 90.00° and 90.00°. The asymmetric unit holds As at (0.250, 0.250, 0.250) and W at (0.000, 0.000, 0.000).

=====

First-principles (PBE-GGA) data for As3W after structural relaxation, as listed in Alexandria.

As for the energy above the lowest structure with this stoichiometry: 541.9 meV/atom. As for the total energy: -0.448 Ry per atom. The total magnetization is 0.00 μB per cell. The energy of formation is 61.4 kJ per mole of atoms.

The structure belongs to space group Cmmm (No. 65); the cell edges are 5.720, 7.449 and 3.193 Å and the angles 90.00°, 90.00° and 90.00°. The asymmetric unit holds As at (0.000, 0.000, 0.000), As at (0.250, 0.250, 0.500) and W at (0.000, 0.500, 0.000).